1.
La4TbSm6: relaxed, PBE.

Properties
total moment	0.00	μB/f.u.
ΔE_f	0.256	eV/atom
offset from the most stable computed form	0.000	eV/atom
crystal system	tetragonal
space-group type	I-42m (121)

Geometry as POSCAR:
```
La4TbSm6
1.0
6.737 0.000 0.000
0.000 6.737 0.000
-3.369 -3.369 8.554
Sm La Tb
6 4 1
Direct
0.862 0.490 0.352 Sm
0.500 0.000 0.000 Sm
0.490 0.862 0.352 Sm
0.138 0.138 0.648 Sm
0.000 0.500 0.000 Sm
0.510 0.510 0.648 Sm
0.296 0.296 0.256 La
0.704 0.040 0.744 La
0.040 0.704 0.744 La
0.960 0.960 0.256 La
0.500 0.500 0.000 Tb
```

2.
La3Tb3Sm5: relaxed, PBE.

Properties
total moment	0.00	μB/f.u.
ΔE_f	0.714	eV/atom
offset from the most stable computed form	0.000	eV/atom
crystal system	hexagonal
space-group type	P-62m (189)

Geometry as POSCAR:
```
La3Tb3Sm5
1.0
5.686 0.000 0.000
0.000 8.362 -4.828
0.000 0.000 9.656
Tb Sm La
3 5 3
Direct
0.500 0.000 0.752 Tb
0.500 0.248 0.248 Tb
0.500 0.752 0.000 Tb
0.500 0.381 0.000 Sm
0.500 0.000 0.381 Sm
0.500 0.619 0.619 Sm
0.500 0.667 0.333 Sm
0.500 0.333 0.667 Sm
0.000 0.395 0.395 La
0.000 0.000 0.605 La
0.000 0.605 0.000 La
```

3.
La3Tb8Sm: relaxed, PBE.

Properties
total moment	0.00	μB/f.u.
ΔE_f	0.268	eV/atom
crystal system	orthorhombic
space-group type	Immm (71)

Geometry as POSCAR:
```
La3Tb8Sm
1.0
-1.838 -2.022 -8.356
8.417 2.266 -1.149
0.948 -4.357 7.577
Tb La Sm
8 3 1
Direct
0.828 0.077 0.250 Tb
0.172 0.923 0.751 Tb
0.006 0.754 0.252 Tb
0.828 0.579 0.750 Tb
0.498 0.246 0.252 Tb
0.994 0.246 0.748 Tb
0.172 0.421 0.249 Tb
0.502 0.754 0.748 Tb
0.500 0.247 0.747 La
0.000 0.500 0.500 La
0.500 0.753 0.253 La
0.000 0.000 0.000 Sm
```

4.
La9TbSm2: relaxed, PBE.

Properties
total moment	0.00	μB/f.u.
ΔE_f	0.007	eV/atom
crystal system	tetragonal
space-group type	P4/mmm (123)

Geometry as POSCAR:
```
La9TbSm2
1.0
5.222 0.000 0.000
0.000 5.222 0.000
0.000 0.000 15.676
La Sm Tb
9 2 1
Direct
0.500 0.500 0.667 La
0.500 0.000 0.166 La
0.500 0.500 0.333 La
0.000 0.500 0.166 La
0.000 0.500 0.834 La
0.500 0.000 0.500 La
0.500 0.000 0.834 La
0.500 0.500 0.000 La
0.000 0.500 0.500 La
0.000 0.000 0.333 Sm
0.000 0.000 0.667 Sm
0.000 0.000 0.000 Tb
```

5.
LaTb8Sm3: relaxed, PBE.

Properties
total moment	0.01	μB/f.u.
ΔE_f	0.616	eV/atom
crystal system	tetragonal
space-group type	I-42m (121)

Geometry as POSCAR:
```
LaTb8Sm3
1.0
-8.032 -1.516 1.901
4.757 -6.572 -2.144
5.031 2.486 6.239
Tb Sm La
8 3 1
Direct
0.000 0.249 0.749 Tb
0.501 0.251 0.251 Tb
0.751 0.126 0.126 Tb
0.000 0.874 0.624 Tb
0.000 0.624 0.874 Tb
0.499 0.751 0.751 Tb
0.000 0.749 0.249 Tb
0.249 0.376 0.376 Tb
0.500 0.750 0.250 Sm
0.000 0.500 0.500 Sm
0.500 0.250 0.750 Sm
0.000 0.000 0.000 La
```

6.
La12Tb7Sm: relaxed, PBE.

Properties
total moment	0.00	μB/f.u.
ΔE_f	0.190	eV/atom
offset from the most stable computed form	0.000	eV/atom
crystal system	trigonal
space-group type	R-3 (148)

Geometry as POSCAR:
```
La12Tb7Sm
1.0
8.667 1.098 1.648
-1.355 8.630 1.648
-1.355 -1.803 8.599
La Tb Sm
12 7 1
Direct
0.610 0.144 0.483 La
0.733 0.283 0.144 La
0.144 0.483 0.610 La
0.717 0.856 0.267 La
0.856 0.267 0.717 La
0.483 0.610 0.144 La
0.856 0.517 0.390 La
0.267 0.717 0.856 La
0.144 0.733 0.283 La
0.517 0.390 0.856 La
0.390 0.856 0.517 La
0.283 0.144 0.733 La
0.623 0.940 0.858 Tb
0.858 0.623 0.940 Tb
0.377 0.060 0.142 Tb
0.060 0.142 0.377 Tb
0.940 0.858 0.623 Tb
0.500 0.500 0.500 Tb
0.142 0.377 0.060 Tb
0.000 0.000 0.000 Sm
```

7.
LaTbSm2: relaxed, PBE.

Properties
total moment	0.00	μB/f.u.
ΔE_f	0.019	eV/atom
offset from the most stable computed form	0.000	eV/atom
crystal system	trigonal
space-group type	R-3m (166)

Geometry as POSCAR:
```
LaTbSm2
1.0
-1.573 -1.001 -3.126
1.888 -1.909 -2.457
-3.538 -11.112 3.219
Sm La Tb
2 1 1
Direct
0.248 0.248 0.256 Sm
0.752 0.752 0.744 Sm
0.000 0.000 0.000 La
0.500 0.500 0.500 Tb
```

8.
La8Tb2Sm3: relaxed, PBE.

Properties
total moment	0.00	μB/f.u.
ΔE_f	0.021	eV/atom
offset from the most stable computed form	0.000	eV/atom
crystal system	triclinic
space-group type	P-1 (2)

Geometry as POSCAR:
```
La8Tb2Sm3
1.0
-4.710 3.967 1.506
-5.184 -4.000 7.211
8.212 1.787 3.275
Sm La Tb
3 8 2
Direct
0.500 0.000 0.000 Sm
0.041 0.692 0.078 Sm
0.959 0.308 0.922 Sm
0.345 0.228 0.691 La
0.884 0.923 0.768 La
0.423 0.617 0.847 La
0.577 0.383 0.153 La
0.190 0.463 0.386 La
0.655 0.772 0.309 La
0.810 0.537 0.614 La
0.116 0.077 0.232 La
0.268 0.847 0.538 Tb
0.732 0.153 0.462 Tb
```